No. 1
Ca2AgPd2, PBEsol geometry, DFT meta-GGA SCAN; formation enthalpy at 0 K = -572 meV/atom; excess energy over the best structure of this formula in the dataset = 64 meV per atom
1.0
7.191 0.000 0.000
0.000 7.191 0.000
0.000 0.000 4.048
Ca Ag Pd
4 2 4
direct
0.172 0.328 0.000
0.328 0.828 0.000
0.672 0.172 0.000
0.828 0.672 0.000
0.000 0.000 0.500
0.500 0.500 0.500
0.132 0.632 0.500
0.368 0.132 0.500
0.632 0.868 0.500
0.868 0.368 0.500

No. 2
SrZr2TeOs, PBEsol geometry, DFT meta-GGA SCAN; raw formation energy = 736 meV per atom
1.0
5.281 0.000 0.000
0.000 5.281 0.000
0.000 0.000 4.916
Sr Zr Te Os
1 2 1 1
direct
0.000 0.000 0.000
0.000 0.500 0.500
0.500 0.000 0.500
0.500 0.500 0.500
0.500 0.500 0.000

How do the records compare in N(E_F)? In the order shown, they have 3.48 6.13 states/eV/cell.
How do the records compare in E_tot? In the order shown, they have -23.820 -37.825 eV per atom.
How do the records compare in total moment? In the order shown, they have 0.0 0.0 μB per formula unit.